No. 1
A relaxed structure of CsDyMo2O8. Source: the Alexandria database, functional GGA+U.

Results
Total DFT energy (no corrections): -7.12 eV/atom
DOS(E_F): 0.00 states/eV/f.u.

Structure (extended XYZ):
```
24
Lattice="-3.6470 1.6668 3.1441 -4.9794 -5.9094 -2.6429 3.0203 -6.3456 6.8674" Properties=species:S:1:pos:R:3 pbc="T T T"
Mo -1.8544 -7.3635 5.6951
Mo -6.0765 -6.2547 0.2100
Mo -3.7516 -3.2247 1.6735
Mo 0.4705 -4.3335 7.1587
O -0.1615 -6.7422 5.5690
O -2.8936 -6.1727 4.9357
O -3.7316 -1.7723 2.7530
O -2.7124 -4.4155 2.4329
O -1.8744 -8.8159 4.6157
O -1.2352 -1.6772 1.6385
O -4.4435 -5.5395 -0.1012
O -4.3708 -8.9109 5.7301
O -5.4445 -3.8460 1.7996
O -3.1707 -2.9400 -0.0778
O -5.9888 -7.0106 1.7897
O 0.3828 -3.5775 5.5789
O 1.8983 -5.5362 7.1782
O -2.4353 -7.6482 7.4464
O -7.5043 -5.0520 0.1905
O -1.1625 -5.0486 7.4699
Cs -2.4702 -7.4925 1.6635
Cs -3.1358 -3.0957 5.7051
Dy -1.2518 -1.4742 -0.6547
Dy -7.3745 -2.7684 1.1559
```

---

No. 2
A relaxed structure of ZrFeTeO5. Source: the Alexandria database, functional GGA+U.

Results
Total DFT energy (no corrections): -7.08 eV/atom
DOS(E_F): 0.00 states/eV/f.u.

Structure (extended XYZ):
```
16
Lattice="6.1913 -0.2672 -0.4422 -2.0629 5.8436 -0.4422 -2.1993 -2.9707 7.4694" Properties=species:S:1:pos:R:3 pbc="T T T"
O 2.9267 0.8210 5.8865
O 1.9720 0.6918 0.3297
O 1.0306 4.5242 2.1518
O -0.0430 1.9139 6.2553
O -0.9976 1.7847 0.6985
O 0.8985 -1.9185 4.4332
O 4.1543 -2.2084 5.1598
O -2.2252 4.8141 1.4251
O 2.9427 2.0030 2.5206
O -1.0136 0.6027 4.0644
Te -1.6126 2.0610 5.1598
Te 3.5417 0.5446 1.4251
Zr -1.0997 -1.4854 3.7347
Zr 0.0000 0.0000 0.0000
Fe 2.5392 -1.0127 5.1598
Fe -0.6101 3.6184 1.4251
```